# Ac6Te3Pt2Au

Crystalline Ac6Te3Pt2Au at its relaxed geometry (GGA-PBE, Alexandria).

Output
- Density: 9.13 g/cm3
- E_tot: -64.839 eV for the cell shown

a b c (Å): 7.7716 7.7716 8.5068
angles (deg): 98.73 98.73 119.97
Last column: nearest neighbours and their distance in Å.
Positions (direct):
Ac 0.9277 0.5828 0.7835  2 Pt 3.09, 1 Au 3.21, 1 Te 3.42
Ac 0.7269 0.7269 0.2148  2 Pt 3.09, 1 Au 3.19, 1 Te 3.41
Ac 0.0723 0.4172 0.2165  2 Pt 3.09, 1 Au 3.21, 1 Te 3.42
Ac 0.5828 0.9277 0.7835  2 Pt 3.09, 1 Au 3.21, 1 Te 3.42
Ac 0.2731 0.2731 0.7852  2 Pt 3.09, 1 Au 3.19, 1 Te 3.41
Ac 0.4172 0.0723 0.2165  2 Pt 3.09, 1 Au 3.21, 1 Te 3.42
Te 0.1636 0.8364 0.5000  6 Ac 3.42-3.50
Te 0.8364 0.1636 0.5000  6 Ac 3.42-3.50
Te 0.5000 0.5000 0.5000  6 Ac 3.41-3.50
Pt 0.3330 0.6670 0.0000  6 Ac 3.09
Pt 0.6670 0.3330 0.0000  6 Ac 3.09
Au 0.0000 0.0000 0.0000  6 Ac 3.19-3.21



# BeNiBi2Au

Crystalline BeNiBi2Au at its relaxed geometry (GGA-PBE, Alexandria).

Output
- Calculated formation energy: 1.790 eV/f.u.
- Density: 10.44 g/cm3
- E_tot: -18.757 eV for the cell shown

a b c (Å): 5.1232 5.1232 4.1370
angles (deg): 90.00 90.00 90.00
Last column: nearest neighbours and their distance in Å.
Positions (direct):
Ni 0.0000 0.0000 0.0000  2 Be 2.07
Au 0.5000 0.5000 0.5000  8 Bi 3.29, 4 Be 3.62
Bi 0.0000 0.5000 0.0000  2 Ni 2.56
Bi 0.5000 0.0000 0.0000  2 Ni 2.56
Be 0.0000 0.0000 0.5000  2 Ni 2.07



# VHg2C

Crystalline VHg2C at its relaxed geometry (GGA-PBE, Alexandria).

Output
- Calculated formation energy: 3.856 eV/f.u.
- Density: 10.04 g/cm3
- E_tot: -30.179 eV for the cell shown

a b c (Å): 8.7177 8.7177 6.4868
angles (deg): 47.78 47.78 90.00
Last column: nearest neighbours and their distance in Å.
Positions (direct):
C 0.5000 0.5000 0.0000  2 V 2.02
C 0.2500 0.7500 0.5000  2 V 2.02
Hg 0.5024 0.1250 0.2500  2 C 2.50
Hg 0.2476 0.6250 0.2500  2 C 2.50
Hg 0.3750 0.4976 0.7500  2 C 2.50
Hg 0.8750 0.7524 0.7500  2 C 2.50
V 0.0000 0.0000 0.0000  2 C 2.02
V 0.7500 0.2500 0.5000  2 C 2.02



# HoScBr

Crystalline HoScBr at its relaxed geometry (GGA-PBE, Alexandria).

Output
- Density: 5.84 g/cm3
- E_tot: -29.167 eV for the cell shown
- Relative energy among the computed polymorphs: 11 meV/atom

a b c (Å): 3.6153 3.6153 12.6080
angles (deg): 90.05 90.02 90.00
Last column: nearest neighbours and their distance in Å.
Positions (direct):
Sc 0.7498 0.7492 0.2362  4 Br 2.86
Sc 0.2502 0.2508 0.7638  4 Br 2.86
Ho 0.2499 0.2497 0.4004  4 Sc 3.29, 1 Br 3.34, 8 Ho 3.58-3.62
Ho 0.7501 0.7503 0.5996  4 Sc 3.29, 1 Br 3.34, 8 Ho 3.58-3.62
Br 0.7503 0.7510 0.8647  4 Sc 2.86
Br 0.2497 0.2490 0.1353  4 Sc 2.86